Density functional theory data (PBE) for an optimized crystal structure of Fe6Co2Ni5.

POSCAR file:
```
Fe6Co2Ni5
1.0
-1.631 -1.637 -0.903
5.272 -6.242 1.795
-6.004 -1.284 13.169
Fe Co Ni
12 4 10
Cartesian
-1.772 -0.970 4.959
1.040 -6.556 10.005
2.252 -3.794 2.811
-2.984 -3.732 12.153
0.073 -2.903 1.722
-2.436 -6.260 12.338
1.184 -6.350 5.964
-3.547 -2.813 8.096
0.351 -3.942 6.511
-1.083 -3.584 8.453
-0.242 -0.384 1.133
-0.490 -7.142 13.831
0.029 -2.442 4.374
-0.761 -5.084 10.590
3.108 -5.468 4.301
-3.840 -2.057 10.663
-2.002 -3.222 6.047
-0.361 -5.941 8.014
3.080 -5.820 1.579
-5.443 -3.343 12.482
0.616 -4.821 4.217
-2.980 -4.342 9.843
-1.721 -1.636 2.665
-0.642 -7.527 11.395
1.820 -3.939 0.446
-3.817 -1.461 6.133
```

Values from the calculation:
Volume   301.6 Å³/cell
Space-group type   No. 55
Total moment   22.173 μB per formula unit
ΔE_f   126 kJ/mol of formula units

---

Density functional theory data (PBE) for an optimized crystal structure of Fe6Co5Ni.

POSCAR file:
```
Fe6Co5Ni
1.0
3.843 0.016 -1.122
-0.789 5.053 -2.631
-0.058 0.339 6.953
Ni Co Fe
1 5 6
Cartesian
0.000 0.000 0.000
2.404 0.951 1.106
0.978 1.912 3.379
-0.395 2.526 -1.316
2.018 3.495 -0.179
0.592 4.456 2.094
2.702 3.173 2.160
3.094 0.662 3.467
1.333 3.777 -2.524
1.721 1.291 -1.229
-0.098 4.745 -0.267
0.294 2.234 1.040
```

Values from the calculation:
Volume   138.5 Å³/cell
Space-group type   No. 71
Total moment   26.335 μB per formula unit
ΔE_f   -36 kJ/mol of formula units

---

Density functional theory data (PBE) for an optimized crystal structure of Fe4CoNi6.

POSCAR file:
```
Fe4CoNi6
1.0
-1.967 3.277 2.230
-7.860 -2.647 -3.043
4.366 -2.354 7.310
Fe Co Ni
8 2 12
Cartesian
-0.035 0.847 3.098
-5.804 -0.088 3.775
-1.618 1.629 4.945
-5.419 -2.584 3.391
-0.806 -3.280 4.125
-3.080 0.786 0.535
-2.388 -2.498 5.972
-2.695 -1.709 0.150
-1.747 -2.501 2.134
-0.984 1.639 1.115
-4.660 -0.908 1.615
-2.173 -0.064 2.568
-6.165 -3.011 1.166
-7.149 -1.373 2.281
-0.801 -0.816 4.883
-3.288 -1.660 3.930
-2.937 -4.204 3.587
2.436 -2.401 5.676
-5.409 1.140 0.156
-4.425 -0.498 -0.960
-5.930 -2.601 -1.409
-0.557 -0.798 0.681
```

Values from the calculation:
Volume   264.0 Å³/cell
Space-group type   No. 68
Total moment   15.735 μB per formula unit
ΔE_f   242 kJ/mol of formula units

---

Density functional theory data (PBE) for an optimized crystal structure of FeCo14Ni.

POSCAR file:
```
FeCo14Ni
1.0
-3.718 -2.935 -1.601
2.664 -1.323 4.019
-5.207 3.997 4.769
Fe Co Ni
1 14 1
Cartesian
-0.216 0.605 6.160
1.340 -1.658 2.852
-1.856 -2.465 0.038
-1.542 1.262 4.160
0.009 -0.993 0.843
-2.066 -0.854 5.362
-0.519 -3.127 2.054
-4.984 1.728 3.495
-2.356 -0.289 1.088
-5.505 -0.375 4.690
-2.877 -2.393 2.283
-3.624 1.061 5.476
-1.044 -0.920 3.114
-6.834 0.277 2.697
-4.201 -1.744 0.286
-3.401 -0.199 3.355
```

Values from the calculation:
Volume   175.9 Å³/cell
Space-group type   No. 38
Total moment   26.734 μB per formula unit
ΔE_f   -2 kJ/mol of formula units